Version one
PBE NdHoCo, optimized geometry; symmetry = F-43m (216); density of states at the Fermi level = 3.10 states/eV/f.u.
1.0
0.000 3.360 3.360
3.360 0.000 3.360
3.360 3.360 0.000
Nd Ho Co
1 1 1
Direct
0.000 0.000 0.000 Nd
0.500 0.500 0.500 Ho
0.250 0.250 0.250 Co


Version two
PBE NdHoCo, optimized geometry; symmetry = C2/m (12); density of states at the Fermi level = 2.96 states/eV/f.u.
1.0
6.662 -1.700 0.000
6.662 1.700 0.000
-1.843 0.000 6.621
Nd Ho Co
2 2 2
Direct
0.128 0.128 0.066 Nd
0.872 0.872 0.934 Nd
0.126 0.126 0.562 Ho
0.874 0.874 0.438 Ho
0.497 0.497 0.267 Co
0.503 0.503 0.733 Co


Version three
PBE NdHoCo, optimized geometry; symmetry = P2_1/c (14); density of states at the Fermi level = 2.74 states/eV/f.u.
1.0
6.675 0.000 0.000
0.000 6.749 0.000
-4.366 0.000 6.790
Nd Ho Co
4 4 4
Direct
0.196 0.158 0.419 Nd
0.196 0.342 0.919 Nd
0.804 0.658 0.081 Nd
0.804 0.842 0.581 Nd
0.306 0.659 0.595 Ho
0.306 0.841 0.095 Ho
0.694 0.159 0.905 Ho
0.694 0.341 0.405 Ho
0.287 0.521 0.281 Co
0.287 0.979 0.781 Co
0.713 0.021 0.219 Co
0.713 0.479 0.719 Co


Relative energy table, unit kJ/mol of atoms: version one 4.4; version two 0.0; version three 0.9


Version one
PBE Nd2HoCo2, optimized geometry; symmetry = C2/m (12); density of states at the Fermi level = 5.17 states/eV/f.u.
1.0
6.295 -1.949 0.000
6.295 1.949 0.000
-5.607 0.000 9.549
Nd Ho Co
4 2 4
Direct
0.032 0.032 0.193 Nd
0.165 0.165 0.574 Nd
0.835 0.835 0.426 Nd
0.968 0.968 0.807 Nd
0.282 0.282 0.136 Ho
0.718 0.718 0.864 Ho
0.395 0.395 0.959 Co
0.493 0.493 0.607 Co
0.507 0.507 0.393 Co
0.605 0.605 0.041 Co


Version two
PBE Nd2HoCo2, optimized geometry; symmetry = C2/c (15); density of states at the Fermi level = 4.84 states/eV/f.u.
1.0
5.408 -3.049 0.000
5.408 3.049 0.000
-1.588 0.000 7.200
Nd Ho Co
4 2 4
Direct
0.045 0.267 0.149 Nd
0.267 0.045 0.649 Nd
0.733 0.955 0.351 Nd
0.955 0.733 0.851 Nd
0.421 0.579 0.250 Ho
0.579 0.421 0.750 Ho
0.188 0.479 0.485 Co
0.479 0.188 0.985 Co
0.521 0.812 0.015 Co
0.812 0.521 0.515 Co


Relative energy table, unit kJ/mol of atoms: version one 2.5; version two 0.0


Version one
PBE Ho8Co2Ni, optimized geometry; symmetry = C2/m (12); density of states at the Fermi level = 11.87 states/eV/f.u.
1.0
8.466 -2.448 0.000
8.466 2.448 0.000
-1.866 0.000 6.331
Ho Co Ni
8 2 1
Direct
0.036 0.036 0.290 Ho
0.202 0.202 0.824 Ho
0.329 0.329 0.525 Ho
0.406 0.406 0.046 Ho
0.594 0.594 0.954 Ho
0.671 0.671 0.475 Ho
0.798 0.798 0.176 Ho
0.964 0.964 0.710 Ho
0.189 0.189 0.213 Co
0.811 0.811 0.787 Co
0.500 0.500 0.500 Ni


Version two
PBE Ho8Co2Ni, optimized geometry; symmetry = C2/m (12); density of states at the Fermi level = 10.83 states/eV/f.u.
1.0
6.174 -3.274 0.000
6.174 3.274 0.000
-1.205 0.000 7.824
Ho Co Ni
8 2 1
Direct
0.082 0.082 0.206 Ho
0.098 0.601 0.364 Ho
0.338 0.338 0.975 Ho
0.399 0.902 0.636 Ho
0.601 0.098 0.364 Ho
0.662 0.662 0.025 Ho
0.902 0.399 0.636 Ho
0.918 0.918 0.794 Ho
0.132 0.132 0.894 Co
0.868 0.868 0.106 Co
0.000 0.000 0.500 Ni


Relative energy table, unit kJ/mol of atoms: version one 0.0; version two 22.9


Version one
PBE Ho3Co8Ni, optimized geometry; symmetry = P6_3/mmc (194); density of states at the Fermi level = 15.15 states/eV/f.u.
1.0
4.931 0.000 0.000
-2.465 4.270 0.000
0.000 0.000 16.403
Ho Co Ni
6 16 2
Direct
0.333 0.667 0.041 Ho
0.333 0.667 0.250 Ho
0.333 0.667 0.459 Ho
0.667 0.333 0.541 Ho
0.667 0.333 0.750 Ho
0.667 0.333 0.959 Ho
0.000 0.000 0.250 Co
0.000 0.000 0.750 Co
0.166 0.333 0.629 Co
0.166 0.333 0.871 Co
0.166 0.834 0.629 Co
0.166 0.834 0.871 Co
0.333 0.166 0.129 Co
0.333 0.166 0.371 Co
0.333 0.667 0.750 Co
0.667 0.333 0.250 Co
0.667 0.834 0.629 Co
0.667 0.834 0.871 Co
0.834 0.166 0.129 Co
0.834 0.166 0.371 Co
0.834 0.667 0.129 Co
0.834 0.667 0.371 Co
0.000 0.000 0.000 Ni
0.000 0.000 0.500 Ni


Version two
PBE Ho3Co8Ni, optimized geometry; symmetry = R3m (160); density of states at the Fermi level = 16.40 states/eV/f.u.
1.0
2.482 1.433 8.086
-2.482 1.433 8.086
0.000 -2.866 8.086
Ho Co Ni
3 8 1
Direct
0.000 0.000 0.000 Ho
0.130 0.130 0.130 Ho
0.615 0.615 0.615 Ho
0.061 0.061 0.558 Co
0.061 0.558 0.061 Co
0.067 0.563 0.563 Co
0.312 0.312 0.312 Co
0.558 0.061 0.061 Co
0.563 0.067 0.563 Co
0.563 0.563 0.067 Co
0.813 0.813 0.813 Co
0.492 0.492 0.492 Ni


Relative energy table, unit kJ/mol of atoms: version one 0.0; version two 7.5


Version one
PBE Ho6Co2Ni, optimized geometry; symmetry = Immm (71); density of states at the Fermi level = 9.61 states/eV/f.u.
1.0
-4.615 4.660 4.775
4.615 -4.660 4.775
4.615 4.660 -4.775
Ho Co Ni
12 4 2
Direct
0.011 0.826 0.185 Ho
0.250 0.564 0.315 Ho
0.250 0.935 0.685 Ho
0.268 0.323 0.591 Ho
0.268 0.677 0.945 Ho
0.358 0.174 0.185 Ho
0.642 0.826 0.815 Ho
0.732 0.323 0.055 Ho
0.732 0.677 0.409 Ho
0.750 0.065 0.315 Ho
0.750 0.436 0.685 Ho
0.989 0.174 0.815 Ho
0.000 0.172 0.172 Co
0.000 0.828 0.828 Co
0.385 0.385 0.000 Co
0.615 0.615 0.000 Co
0.000 0.500 0.500 Ni
0.500 0.000 0.500 Ni


Version two
PBE Ho6Co2Ni, optimized geometry; symmetry = P2_1/c (14); density of states at the Fermi level = 7.40 states/eV/f.u.
1.0
6.381 0.000 0.000
0.000 7.084 0.000
-6.005 0.000 9.540
Ho Co Ni
12 4 2
Direct
0.088 0.053 0.244 Ho
0.088 0.447 0.744 Ho
0.239 0.674 0.080 Ho
0.239 0.826 0.580 Ho
0.390 0.170 0.067 Ho
0.390 0.330 0.567 Ho
0.610 0.670 0.433 Ho
0.610 0.830 0.933 Ho
0.761 0.174 0.420 Ho
0.761 0.326 0.920 Ho
0.912 0.553 0.256 Ho
0.912 0.947 0.756 Ho
0.313 0.117 0.771 Co
0.313 0.383 0.271 Co
0.687 0.617 0.729 Co
0.687 0.883 0.229 Co
0.500 0.000 0.500 Ni
0.500 0.500 0.000 Ni


Relative energy table, unit kJ/mol of atoms: version one 0.0; version two 3.3


Version one
PBE HoPaCoNi, optimized geometry; symmetry = Amm2 (38); density of states at the Fermi level = 3.28 states/eV/f.u.
1.0
3.810 0.000 0.000
0.000 1.794 5.704
0.000 -1.794 5.704
Ho Pa Co Ni
1 1 1 1
Direct
0.000 0.000 0.000 Ho
0.500 0.267 0.267 Pa
0.000 0.747 0.747 Co
0.500 0.586 0.586 Ni


Version two
PBE HoPaCoNi, optimized geometry; symmetry = F-43m (216); density of states at the Fermi level = 4.30 states/eV/f.u.
1.0
0.000 3.340 3.340
3.340 0.000 3.340
3.340 3.340 0.000
Ho Pa Co Ni
1 1 1 1
Direct
0.000 0.000 0.000 Ho
0.500 0.500 0.500 Pa
0.750 0.750 0.750 Co
0.250 0.250 0.250 Ni


Relative energy table, unit kJ/mol of atoms: version one 0.0; version two 22.8


Version one
PBE PmHoCoNi, optimized geometry; symmetry = Amm2 (38); density of states at the Fermi level = 2.97 states/eV/f.u.
1.0
3.953 0.000 0.000
0.000 1.934 5.347
0.000 -1.934 5.347
Pm Ho Co Ni
1 1 1 1
Direct
0.000 0.000 0.000 Pm
0.500 0.281 0.281 Ho
0.500 0.578 0.578 Co
0.000 0.713 0.713 Ni


Version two
PBE PmHoCoNi, optimized geometry; symmetry = F-43m (216); density of states at the Fermi level = 3.26 states/eV/f.u.
1.0
0.000 3.394 3.394
3.394 0.000 3.394
3.394 3.394 0.000
Pm Ho Co Ni
1 1 1 1
Direct
0.000 0.000 0.000 Pm
0.500 0.500 0.500 Ho
0.250 0.250 0.250 Co
0.750 0.750 0.750 Ni


Relative energy table, unit kJ/mol of atoms: version one 0.0; version two 7.4


Version one
PBE TbHoCoNi, optimized geometry; symmetry = F-43m (216); density of states at the Fermi level = 2.84 states/eV/f.u.
1.0
0.000 3.353 3.353
3.353 0.000 3.353
3.353 3.353 0.000
Tb Ho Co Ni
1 1 1 1
Direct
0.000 0.000 0.000 Tb
0.500 0.500 0.500 Ho
0.250 0.250 0.250 Co
0.750 0.750 0.750 Ni


Version two
PBE TbHoCoNi, optimized geometry; symmetry = Amm2 (38); density of states at the Fermi level = 2.97 states/eV/f.u.
1.0
3.950 0.000 0.000
0.000 1.917 5.223
0.000 -1.917 5.223
Tb Ho Co Ni
1 1 1 1
Direct
0.000 0.000 0.000 Tb
0.500 0.716 0.716 Ho
0.000 0.287 0.287 Co
0.500 0.424 0.424 Ni


Relative energy table, unit kJ/mol of atoms: version one 5.3; version two 0.0


Version one
PBE YHoCoNi, optimized geometry; symmetry = Amm2 (38); density of states at the Fermi level = 3.05 states/eV/f.u.
1.0
3.942 0.000 0.000
0.000 1.925 5.223
0.000 -1.925 5.223
Y Ho Co Ni
1 1 1 1
Direct
0.000 0.000 0.000 Y
0.500 0.716 0.716 Ho
0.500 0.424 0.424 Co
0.000 0.289 0.289 Ni


Version two
PBE YHoCoNi, optimized geometry; symmetry = F-43m (216); density of states at the Fermi level = 2.65 states/eV/f.u.
1.0
0.000 3.353 3.353
3.353 0.000 3.353
3.353 3.353 0.000
Y Ho Co Ni
1 1 1 1
Direct
0.000 0.000 0.000 Y
0.500 0.500 0.500 Ho
0.750 0.750 0.750 Co
0.250 0.250 0.250 Ni


Relative energy table, unit kJ/mol of atoms: version one 0.0; version two 5.4


Version one
PBE Ho8Co2Os, optimized geometry; symmetry = C2/m (12); density of states at the Fermi level = 10.91 states/eV/f.u.
1.0
8.470 -2.454 0.000
8.470 2.454 0.000
-1.969 0.000 6.353
Ho Co Os
8 2 1
Direct
0.035 0.035 0.295 Ho
0.201 0.201 0.820 Ho
0.329 0.329 0.528 Ho
0.405 0.405 0.051 Ho
0.595 0.595 0.949 Ho
0.671 0.671 0.472 Ho
0.799 0.799 0.180 Ho
0.965 0.965 0.705 Ho
0.189 0.189 0.201 Co
0.811 0.811 0.799 Co
0.500 0.500 0.500 Os


Version two
PBE Ho8Co2Os, optimized geometry; symmetry = Cm (8); density of states at the Fermi level = 10.92 states/eV/f.u.
1.0
4.036 -6.169 0.000
4.036 6.169 0.000
-1.889 0.000 5.590
Ho Co Os
8 2 1
Direct
0.000 0.000 0.000 Ho
0.026 0.286 0.584 Ho
0.144 0.573 0.184 Ho
0.286 0.026 0.584 Ho
0.439 0.700 0.770 Ho
0.573 0.144 0.184 Ho
0.700 0.439 0.770 Ho
0.718 0.718 0.367 Ho
0.053 0.674 0.680 Co
0.674 0.053 0.680 Co
0.356 0.356 0.338 Os


Relative energy table, unit kJ/mol of atoms: version one 0.0; version two 6.3


Version one
PBE Ho8CoOs2, optimized geometry; symmetry = C2/m (12); density of states at the Fermi level = 10.28 states/eV/f.u.
1.0
8.685 -2.358 0.000
8.685 2.358 0.000
-2.002 0.000 6.576
Ho Co Os
8 1 2
Direct
0.029 0.029 0.294 Ho
0.207 0.207 0.813 Ho
0.334 0.334 0.537 Ho
0.403 0.403 0.040 Ho
0.597 0.597 0.960 Ho
0.666 0.666 0.463 Ho
0.793 0.793 0.187 Ho
0.971 0.971 0.706 Ho
0.500 0.500 0.500 Co
0.184 0.184 0.201 Os
0.816 0.816 0.799 Os


Version two
PBE Ho8CoOs2, optimized geometry; symmetry = Cm (8); density of states at the Fermi level = 10.01 states/eV/f.u.
1.0
4.177 -6.203 0.000
4.177 6.203 0.000
-1.965 0.000 5.491
Ho Co Os
8 1 2
Direct
0.000 0.000 0.000 Ho
0.014 0.275 0.596 Ho
0.148 0.567 0.189 Ho
0.275 0.014 0.596 Ho
0.430 0.688 0.799 Ho
0.567 0.148 0.189 Ho
0.688 0.430 0.799 Ho
0.717 0.717 0.387 Ho
0.362 0.362 0.043 Co
0.042 0.664 0.701 Os
0.664 0.042 0.701 Os


Relative energy table, unit kJ/mol of atoms: version one 0.0; version two 5.6